Sr4HPd2 after structural relaxation. Source: the Alexandria database, functional PBE.

Lattice parameters (Å, degrees): 8.9236 8.9236 8.9236 147.84 147.84 46.13
With the nearest neighbours (Å) after each atom.
Element x y z (fractional)
Sr1 0.0000 0.5000 0.5000  2 H 2.47
Sr2 0.1860 0.1860 0.0000  1 H 3.05, 1 Pd 3.09
Sr3 0.5000 0.0000 0.5000  2 H 2.47
Sr4 0.8140 0.8140 0.0000  1 H 3.05, 1 Pd 3.09
H1 0.0000 0.0000 0.0000  4 Sr 2.47
Pd1 0.3740 0.3740 0.0000  5 Sr 3.09-3.22
Pd2 0.6260 0.6260 0.0000  5 Sr 3.09-3.22

Properties
- total DFT energy (no corrections) (eV for the cell shown) = -23.46
- SG = I4/mmm
- density of states at the Fermi level (states/eV per atom) = 0.729